(1)
16
Lattice="6.9241 0.0000 0.0000 0.0000 6.9241 0.0000 0.0000 0.0000 6.9241" Properties=species:S:1:pos:R:3 comment="LiLuCuPb, relaxed, DFT PBE" formation_energy_ev_per_atom=-0.209 final_energy_ev_per_atom=-3.77 space_group="F-43m (216)" pbc="T T T"
Li 0.0000 0.0000 0.0000
Li 0.0000 3.4621 3.4621
Li 3.4621 0.0000 3.4621
Li 3.4621 3.4621 0.0000
Lu 0.0000 0.0000 3.4621
Lu 0.0000 3.4621 0.0000
Lu 3.4621 0.0000 0.0000
Lu 3.4621 3.4621 3.4621
Cu 1.7310 1.7310 1.7310
Cu 1.7310 5.1931 5.1931
Cu 5.1931 1.7310 5.1931
Cu 5.1931 5.1931 1.7310
Pb 1.7310 1.7310 5.1931
Pb 1.7310 5.1931 1.7310
Pb 5.1931 1.7310 1.7310
Pb 5.1931 5.1931 5.1931

(2)
12
Lattice="2.7415 0.0000 0.0000 -1.3708 2.3742 0.0000 0.0000 0.0000 25.2931" Properties=species:S:1:pos:R:3 comment="AlFeIr2, relaxed, DFT PBE" formation_energy_ev_per_atom=-0.186 final_energy_ev_per_atom=-7.67 space_group="R3m (160)" pbc="T T T"
Al 0.0000 0.0000 0.0000
Al 0.0000 1.5828 16.8621
Al 1.3708 0.7914 8.4310
Fe 0.0000 0.0000 18.8800
Fe 0.0000 1.5828 10.4489
Fe 1.3708 0.7914 2.0179
Ir 0.0000 0.0000 6.3546
Ir 0.0000 0.0000 12.4835
Ir 0.0000 1.5828 4.0524
Ir 0.0000 1.5828 23.2167
Ir 1.3708 0.7914 14.7856
Ir 1.3708 0.7914 20.9145

(3)
6
Lattice="3.0701 0.0000 0.0000 0.0000 3.9251 0.0000 0.0000 0.0000 8.8082" Properties=species:S:1:pos:R:3 comment="HgRhAu, relaxed, DFT PBE" formation_energy_ev_per_atom=0.192 de_polymorph_mev_per_atom=34 final_energy_ev_per_atom=-3.45 space_group="Imm2 (44)" pbc="T T T"
Hg 0.0000 0.0000 0.0000
Hg 1.5350 1.9625 4.4041
Rh 0.0000 0.0000 2.9703
Rh 1.5350 1.9625 7.3744
Au 0.0000 0.0000 5.9424
Au 1.5350 1.9625 1.5383